This record from the Alexandria database describes a relaxed HoRe2 crystal. The functional is PBEsol.

Geometry as CIF:
```
data_HoRe2
_cell_length_a 5.3541
_cell_length_b 5.3541
_cell_length_c 8.6983
_cell_angle_alpha 90.00
_cell_angle_beta 90.00
_cell_angle_gamma 120.00
_space_group_name_H-M_alt 'P 63/m m c'
_space_group_IT_number 194
_space_group_name_Hall '-P 6c 2c'
loop_
_atom_site_label
_atom_site_fract_x
_atom_site_fract_y
_atom_site_fract_z
Ho1 0.3333 0.6667 0.0623
Re1 0.0000 0.0000 0.0000
Re2 0.1708 0.3417 0.7500
```

Computed properties:
For the calculated formation energy, the calculation gives -234.3 meV per atom. The final energy comes out at -0.3959 Ha/atom. The calculated volume comes out at 17.995 Å³/atom.



This record from the Alexandria database describes a relaxed Te2AsRh crystal. The functional is PBEsol.

Geometry as CIF:
```
data_Te2AsRh
_cell_length_a 6.8767
_cell_length_b 6.8767
_cell_length_c 6.8767
_cell_angle_alpha 90.00
_cell_angle_beta 90.00
_cell_angle_gamma 90.00
_space_group_name_H-M_alt 'F -4 3 m'
_space_group_IT_number 216
_space_group_name_Hall 'F -4 2 3'
loop_
_atom_site_label
_atom_site_fract_x
_atom_site_fract_y
_atom_site_fract_z
Te1 0.0000 0.0000 0.0000
Te2 0.2500 0.2500 0.2500
As1 0.2500 0.2500 0.7500
Rh1 0.0000 0.0000 0.5000
```

Computed properties:
The raw formation energy is 0.423 eV per atom. The final energy comes out at -0.1709 Ha/atom. The calculated volume comes out at 20.324 Å³/atom.



This record from the Alexandria database describes a relaxed Zr4BeBr crystal. The functional is PBEsol.

Geometry as CIF:
```
data_Zr4BeBr
_cell_length_a 8.0004
_cell_length_b 8.0004
_cell_length_c 8.0004
_cell_angle_alpha 90.00
_cell_angle_beta 90.00
_cell_angle_gamma 90.00
_space_group_name_H-M_alt 'F -4 3 m'
_space_group_IT_number 216
_space_group_name_Hall 'F -4 2 3'
loop_
_atom_site_label
_atom_site_fract_x
_atom_site_fract_y
_atom_site_fract_z
Zr1 0.1223 0.1223 0.3777
Be1 0.2500 0.2500 0.7500
Br1 0.0000 0.0000 0.0000
```

Computed properties:
The raw formation energy is 0.658 eV per atom. The final energy comes out at -0.2345 Ha/atom. The calculated volume comes out at 21.336 Å³/atom.



This record from the Alexandria database describes a relaxed ZnOsSeBr2 crystal. The functional is PBEsol.

Geometry as CIF:
```
data_ZnOsSeBr2
_cell_length_a 5.1490
_cell_length_b 5.1490
_cell_length_c 4.6169
_cell_angle_alpha 90.00
_cell_angle_beta 90.00
_cell_angle_gamma 90.00
_space_group_name_H-M_alt 'P 4/m m m'
_space_group_IT_number 123
_space_group_name_Hall '-P 4 2'
loop_
_atom_site_label
_atom_site_fract_x
_atom_site_fract_y
_atom_site_fract_z
Zn1 0.0000 0.0000 0.0000
Os1 0.5000 0.5000 0.5000
Se1 0.5000 0.5000 0.0000
Br1 0.0000 0.5000 0.5000
```

Computed properties:
The raw formation energy is 0.491 eV per atom. The final energy comes out at -0.1391 Ha/atom. The calculated volume comes out at 24.481 Å³/atom.



This record from the Alexandria database describes a relaxed BaHgW crystal. The functional is PBEsol.

Geometry as CIF:
```
data_BaHgW
_cell_length_a 3.0420
_cell_length_b 3.0420
_cell_length_c 15.0207
_cell_angle_alpha 90.00
_cell_angle_beta 90.00
_cell_angle_gamma 90.00
_space_group_name_H-M_alt 'I 4 m m'
_space_group_IT_number 107
_space_group_name_Hall 'I 4 -2'
loop_
_atom_site_label
_atom_site_fract_x
_atom_site_fract_y
_atom_site_fract_z
Ba1 0.0000 0.0000 0.0000
Hg1 0.0000 0.0000 0.6861
W1 0.0000 0.0000 0.3180
```

Computed properties:
For the calculated formation energy, the calculation gives 901.3 meV per atom. Its relative energy among the computed polymorphs is 0.000 eV per atom. The final energy comes out at -0.1693 Ha/atom. The calculated volume comes out at 23.167 Å³/atom.



This record from the Alexandria database describes a relaxed AlAgPt4 crystal. The functional is PBEsol.

Geometry as CIF:
```
data_AlAgPt4
_cell_length_a 7.3569
_cell_length_b 7.3569
_cell_length_c 7.3569
_cell_angle_alpha 90.00
_cell_angle_beta 90.00
_cell_angle_gamma 90.00
_space_group_name_H-M_alt 'F -4 3 m'
_space_group_IT_number 216
_space_group_name_Hall 'F -4 2 3'
loop_
_atom_site_label
_atom_site_fract_x
_atom_site_fract_y
_atom_site_fract_z
Al1 0.0000 0.0000 0.0000
Ag1 0.2500 0.2500 0.2500
Pt1 0.1250 0.1250 0.6250
```

Computed properties:
For the calculated formation energy, the calculation gives -33.3 meV per atom. The final energy comes out at -0.2172 Ha/atom. The calculated volume comes out at 16.591 Å³/atom.



This record from the Alexandria database describes a relaxed Ag2RuBr crystal. The functional is PBEsol.

Geometry as CIF:
```
data_Ag2RuBr
_cell_length_a 3.0361
_cell_length_b 4.5239
_cell_length_c 4.8731
_cell_angle_alpha 90.00
_cell_angle_beta 90.00
_cell_angle_gamma 90.00
_space_group_name_H-M_alt 'P m m m'
_space_group_IT_number 47
_space_group_name_Hall '-P 2 2'
loop_
_atom_site_label
_atom_site_fract_x
_atom_site_fract_y
_atom_site_fract_z
Ag1 0.0000 0.0000 0.0000
Ag2 0.5000 0.5000 0.0000
Ru1 0.0000 0.5000 0.5000
Br1 0.5000 0.0000 0.5000
```

Computed properties:
Its relative energy among the computed polymorphs is 0.148 eV per atom. The raw formation energy is 0.675 eV per atom. The final energy comes out at -0.1467 Ha/atom. The calculated volume comes out at 16.733 Å³/atom.



This record from the Alexandria database describes a relaxed AlReHg2 crystal. The functional is PBEsol.

Geometry as CIF:
```
data_AlReHg2
_cell_length_a 2.7844
_cell_length_b 3.9853
_cell_length_c 6.5198
_cell_angle_alpha 90.00
_cell_angle_beta 90.00
_cell_angle_gamma 90.00
_space_group_name_H-M_alt 'P m m 2'
_space_group_IT_number 25
_space_group_name_Hall 'P 2 -2'
loop_
_atom_site_label
_atom_site_fract_x
_atom_site_fract_y
_atom_site_fract_z
Al1 0.0000 0.0000 0.0000
Re1 0.5000 0.5000 0.8578
Hg1 0.0000 0.0000 0.5752
Hg2 0.5000 0.5000 0.2955
```

Computed properties:
For the calculated formation energy, the calculation gives 383.1 meV per atom. The final energy comes out at -0.1564 Ha/atom. The calculated volume comes out at 18.087 Å³/atom.



This record from the Alexandria database describes a relaxed MoIr2 crystal. The functional is PBEsol.

Geometry as CIF:
```
data_MoIr2
_cell_length_a 3.8613
_cell_length_b 3.8613
_cell_length_c 23.0705
_cell_angle_alpha 90.00
_cell_angle_beta 90.00
_cell_angle_gamma 90.00
_space_group_name_H-M_alt 'I 41/a m d'
_space_group_IT_number 141
loop_
_space_group_symop_operation_xyz
'x,y,z'
'-x,-y,-z'
'-y+1/4,x+3/4,z+1/4'
'y+1/4,-x+3/4,-z+1/4'
'-x+1/2,-y,z+1/2'
'x+1/2,y,-z+1/2'
'y+1/4,-x+1/4,z+3/4'
'-y+1/4,x+1/4,-z+3/4'
'x,-y,-z'
'-x,y,z'
'-y+1/4,-x+1/4,-z+3/4'
'y+1/4,x+1/4,z+3/4'
'-x+1/2,y,-z+1/2'
'x+1/2,-y,z+1/2'
'y+1/4,x+3/4,-z+1/4'
'-y+1/4,-x+3/4,z+1/4'
'x+1/2,y+1/2,z+1/2'
'-x+1/2,-y+1/2,-z+1/2'
'-y+3/4,x+1/4,z+3/4'
'y+3/4,-x+1/4,-z+3/4'
'-x,-y+1/2,z'
'x,y+1/2,-z'
'y+3/4,-x+3/4,z+1/4'
'-y+3/4,x+3/4,-z+1/4'
'x+1/2,-y+1/2,-z+1/2'
'-x+1/2,y+1/2,z+1/2'
'-y+3/4,-x+3/4,-z+1/4'
'y+3/4,x+3/4,z+1/4'
'-x,y+1/2,-z'
'x,-y+1/2,z'
'y+3/4,x+1/4,-z+3/4'
'-y+3/4,-x+1/4,z+3/4'
loop_
_atom_site_label
_atom_site_fract_x
_atom_site_fract_y
_atom_site_fract_z
Mo1 0.0000 0.2500 0.2916
Ir1 0.0000 0.2500 0.1239
Ir2 0.0000 0.2500 0.7918
```

Computed properties:
For the calculated formation energy, the calculation gives -283.4 meV per atom. The final energy comes out at -0.3952 Ha/atom. The calculated volume comes out at 14.332 Å³/atom.



This record from the Alexandria database describes a relaxed CoPbSe2 crystal. The functional is PBEsol.

Geometry as CIF:
```
data_CoPbSe2
_cell_length_a 3.1298
_cell_length_b 3.1298
_cell_length_c 7.7524
_cell_angle_alpha 90.00
_cell_angle_beta 90.00
_cell_angle_gamma 90.00
_space_group_name_H-M_alt 'P 4/m m m'
_space_group_IT_number 123
_space_group_name_Hall '-P 4 2'
loop_
_atom_site_label
_atom_site_fract_x
_atom_site_fract_y
_atom_site_fract_z
Co1 0.0000 0.0000 0.0000
Pb1 0.0000 0.0000 0.5000
Se1 0.5000 0.5000 0.1758
```

Computed properties:
The raw formation energy is 0.107 eV per atom. The final energy comes out at -0.1746 Ha/atom. The calculated volume comes out at 18.984 Å³/atom.



This record from the Alexandria database describes a relaxed Zr4ReSe crystal. The functional is PBEsol.

Geometry as CIF:
```
data_Zr4ReSe
_cell_length_a 7.7628
_cell_length_b 7.7628
_cell_length_c 7.7628
_cell_angle_alpha 90.00
_cell_angle_beta 90.00
_cell_angle_gamma 90.00
_space_group_name_H-M_alt 'F -4 3 m'
_space_group_IT_number 216
_space_group_name_Hall 'F -4 2 3'
loop_
_atom_site_label
_atom_site_fract_x
_atom_site_fract_y
_atom_site_fract_z
Zr1 0.1235 0.1235 0.3765
Re1 0.2500 0.2500 0.7500
Se1 0.0000 0.0000 0.0000
```

Computed properties:
The raw formation energy is 0.543 eV per atom. The final energy comes out at -0.3080 Ha/atom. The calculated volume comes out at 19.492 Å³/atom.



This record from the Alexandria database describes a relaxed K2SeCl crystal. The functional is PBEsol.

Geometry as CIF:
```
data_K2SeCl
_cell_length_a 4.2101
_cell_length_b 4.2101
_cell_length_c 24.9631
_cell_angle_alpha 90.00
_cell_angle_beta 90.00
_cell_angle_gamma 120.00
_space_group_name_H-M_alt 'R -3 m'
_space_group_IT_number 166
_space_group_name_Hall '-R 3 2"'
loop_
_atom_site_label
_atom_site_fract_x
_atom_site_fract_y
_atom_site_fract_z
K1 0.0000 0.0000 0.2423
Se1 0.0000 0.0000 0.0000
Cl1 0.0000 0.0000 0.5000
```

Computed properties:
The raw formation energy is -1.189 eV per atom. The final energy comes out at -0.1183 Ha/atom. The calculated volume comes out at 31.932 Å³/atom.



This record from the Alexandria database describes a relaxed Cr4SiNi crystal. The functional is PBEsol.

Geometry as CIF:
```
data_Cr4SiNi
_cell_length_a 6.5167
_cell_length_b 6.5167
_cell_length_c 6.5167
_cell_angle_alpha 90.00
_cell_angle_beta 90.00
_cell_angle_gamma 90.00
_space_group_name_H-M_alt 'F -4 3 m'
_space_group_IT_number 216
_space_group_name_Hall 'F -4 2 3'
loop_
_atom_site_label
_atom_site_fract_x
_atom_site_fract_y
_atom_site_fract_z
Cr1 0.1252 0.1252 0.1252
Si1 0.2500 0.2500 0.7500
Ni1 0.0000 0.0000 0.5000
```

Computed properties:
The raw formation energy is 0.234 eV per atom. The final energy comes out at -0.3152 Ha/atom. The calculated volume comes out at 11.531 Å³/atom.



This record from the Alexandria database describes a relaxed BeGeMoC2 crystal. The functional is PBEsol.

Geometry as CIF:
```
data_BeGeMoC2
_cell_length_a 3.7528
_cell_length_b 3.7528
_cell_length_c 4.9829
_cell_angle_alpha 90.00
_cell_angle_beta 90.00
_cell_angle_gamma 90.00
_space_group_name_H-M_alt 'P 4/m m m'
_space_group_IT_number 123
_space_group_name_Hall '-P 4 2'
loop_
_atom_site_label
_atom_site_fract_x
_atom_site_fract_y
_atom_site_fract_z
Be1 0.0000 0.0000 0.0000
Ge1 0.5000 0.5000 0.5000
Mo1 0.5000 0.5000 0.0000
C1 0.0000 0.5000 0.5000
```

Computed properties:
For the calculated formation energy, the calculation gives 2492.9 meV per atom. The final energy comes out at -0.2023 Ha/atom. The calculated volume comes out at 14.036 Å³/atom.



This record from the Alexandria database describes a relaxed La2BrClO2 crystal. The functional is PBEsol.

Geometry as CIF:
```
data_La2BrClO2
_cell_length_a 4.0843
_cell_length_b 4.0843
_cell_length_c 7.1320
_cell_angle_alpha 90.00
_cell_angle_beta 90.00
_cell_angle_gamma 90.00
_space_group_name_H-M_alt 'P 4 m m'
_space_group_IT_number 99
_space_group_name_Hall 'P 4 -2'
loop_
_atom_site_label
_atom_site_fract_x
_atom_site_fract_y
_atom_site_fract_z
La1 0.0000 0.0000 0.0000
La2 0.5000 0.5000 0.3367
Br1 0.0000 0.0000 0.5453
Cl1 0.5000 0.5000 0.8143
O1 0.0000 0.5000 0.1701
```

Computed properties:
The raw formation energy is -3.108 eV per atom. The final energy comes out at -0.2678 Ha/atom. The calculated volume comes out at 19.829 Å³/atom.



This record from the Alexandria database describes a relaxed H2AuN crystal. The functional is PBEsol.

Geometry as CIF:
```
data_H2AuN
_cell_length_a 4.9447
_cell_length_b 4.9447
_cell_length_c 4.9447
_cell_angle_alpha 90.00
_cell_angle_beta 90.00
_cell_angle_gamma 90.00
_space_group_name_H-M_alt 'F m -3 m'
_space_group_IT_number 225
_space_group_name_Hall '-F 4 2 3'
loop_
_atom_site_label
_atom_site_fract_x
_atom_site_fract_y
_atom_site_fract_z
H1 0.2500 0.2500 0.2500
Au1 0.0000 0.0000 0.0000
N1 0.0000 0.0000 0.5000
```

Computed properties:
Its relative energy among the computed polymorphs is 0.823 eV per atom. The final energy comes out at -0.1194 Ha/atom. The calculated volume comes out at 7.556 Å³/atom.



This record from the Alexandria database describes a relaxed TcSe2Cl crystal. The functional is PBEsol.

Geometry as CIF:
```
data_TcSe2Cl
_cell_length_a 2.7904
_cell_length_b 2.7904
_cell_length_c 34.3048
_cell_angle_alpha 90.00
_cell_angle_beta 90.00
_cell_angle_gamma 120.00
_space_group_name_H-M_alt 'R -3 m'
_space_group_IT_number 166
_space_group_name_Hall '-R 3 2"'
loop_
_atom_site_label
_atom_site_fract_x
_atom_site_fract_y
_atom_site_fract_z
Tc1 0.0000 0.0000 0.0000
Se1 0.0000 0.0000 0.0714
Cl1 0.0000 0.0000 0.5000
```

Computed properties:
Its relative energy among the computed polymorphs is 0.169 eV per atom. The raw formation energy is 0.398 eV per atom. The final energy comes out at -0.1781 Ha/atom. The calculated volume comes out at 19.276 Å³/atom.



This record from the Alexandria database describes a relaxed RbMgGe2P crystal. The functional is PBEsol.

Geometry as CIF:
```
data_RbMgGe2P
_cell_length_a 5.0506
_cell_length_b 5.0506
_cell_length_c 5.0103
_cell_angle_alpha 90.00
_cell_angle_beta 90.00
_cell_angle_gamma 90.00
_space_group_name_H-M_alt 'P 4/m m m'
_space_group_IT_number 123
_space_group_name_Hall '-P 4 2'
loop_
_atom_site_label
_atom_site_fract_x
_atom_site_fract_y
_atom_site_fract_z
Rb1 0.0000 0.0000 0.0000
Mg1 0.5000 0.5000 0.0000
Ge1 0.0000 0.5000 0.5000
P1 0.5000 0.5000 0.5000
```

Computed properties:
For the calculated formation energy, the calculation gives 354.4 meV per atom. The final energy comes out at -0.1223 Ha/atom. The calculated volume comes out at 25.561 Å³/atom.



This record from the Alexandria database describes a relaxed Cr2InAs crystal. The functional is PBEsol.

Geometry as CIF:
```
data_Cr2InAs
_cell_length_a 6.2053
_cell_length_b 6.2053
_cell_length_c 6.2053
_cell_angle_alpha 90.00
_cell_angle_beta 90.00
_cell_angle_gamma 90.00
_space_group_name_H-M_alt 'F m -3 m'
_space_group_IT_number 225
_space_group_name_Hall '-F 4 2 3'
loop_
_atom_site_label
_atom_site_fract_x
_atom_site_fract_y
_atom_site_fract_z
Cr1 0.2500 0.2500 0.2500
In1 0.0000 0.0000 0.0000
As1 0.0000 0.0000 0.5000
```

Computed properties:
For the calculated formation energy, the calculation gives 462.6 meV per atom. Its relative energy among the computed polymorphs is 0.099 eV per atom. The final energy comes out at -0.2455 Ha/atom. The calculated volume comes out at 14.934 Å³/atom.



This record from the Alexandria database describes a relaxed Y2OsCl crystal. The functional is PBEsol.

Geometry as CIF:
```
data_Y2OsCl
_cell_length_a 4.4733
_cell_length_b 5.3312
_cell_length_c 6.8733
_cell_angle_alpha 90.00
_cell_angle_beta 90.00
_cell_angle_gamma 90.00
_space_group_name_H-M_alt 'I m m m'
_space_group_IT_number 71
_space_group_name_Hall '-I 2 2'
loop_
_atom_site_label
_atom_site_fract_x
_atom_site_fract_y
_atom_site_fract_z
Y1 0.0000 0.0000 0.2477
Os1 0.0000 0.5000 0.5000
Cl1 0.0000 0.5000 0.0000
```

Computed properties:
Its relative energy among the computed polymorphs is 0.486 eV per atom. The raw formation energy is -0.414 eV per atom. The final energy comes out at -0.2713 Ha/atom. The calculated volume comes out at 20.489 Å³/atom.